Record 1
Compound: SrCa2ZrRu
Source: Alexandria
Functional: SCAN
Structure: single point on PBEsol structure

Calculated values
- ΔH_f (0 K) (eV per atom) = 0.774

Cell lengths 5.313, 5.313, 5.439 Å; angles 90.00, 90.00, 90.00 degrees
Space group P4/mmm (No. 123)
Asymmetric unit:
Sr1 0.000 0.000 0.000 [1 per cell]
Ca1 0.000 0.500 0.500 [2 per cell]
Zr1 0.500 0.500 0.000 [1 per cell]
Ru1 0.000 0.000 0.500 [1 per cell]

---

Record 2
Compound: CsNaIn3
Source: Alexandria
Functional: SCAN
Structure: single point on PBEsol structure

Calculated values
- relative energy among the computed polymorphs (kJ/mol of formula units) = 316
- ΔH_f (0 K) (eV per atom) = 0.868

Cell lengths 6.329, 6.329, 6.329 Å; angles 90.00, 90.00, 90.00 degrees
Space group Pm-3m (No. 221)
Asymmetric unit:
Cs1 0.000 0.000 0.000 [1 per cell]
Na1 0.500 0.500 0.500 [1 per cell]
In1 0.000 0.000 0.500 [3 per cell]

---

Record 3
Compound: Er3Pd4
Source: Alexandria
Functional: SCAN
Structure: single point on PBEsol structure

Calculated values
- ΔH_f (0 K) (eV per atom) = -1.050

Cell lengths 12.8803, 12.8803, 5.6223 Å; angles 90.00, 90.00, 120.00 degrees
Space group R-3 (No. 148, hexagonal axes)
Asymmetric unit:
Er1 0.0411 0.2114 0.2350 [18 per cell]
Pd1 0.0000 0.0000 0.0000 [3 per cell]
Pd2 0.0000 0.0000 0.5000 [3 per cell]
Pd3 0.0512 0.2673 0.7210 [18 per cell]

---

Record 4
Compound: BaTi3I
Source: Alexandria
Functional: SCAN
Structure: single point on PBEsol structure

Calculated values
- energy (eV per atom) = -22.927

Cell lengths 5.010, 5.010, 5.010 Å; angles 90.00, 90.00, 90.00 degrees
Space group Pm-3m (No. 221)
Asymmetric unit:
Ba1 0.000 0.000 0.000 [1 per cell]
Ti1 0.000 0.000 0.500 [3 per cell]
I1 0.500 0.500 0.500 [1 per cell]